# MgZr5Cu6 | Alexandria | GGA-PBE | relaxed
# Energy of formation from the pure elements ... -0.107 eV per atom
# Total magnetic moment ... 0.00 μB/cell
data_MgZr5Cu6
_space_group_name_H-M_alt 'C 1 2/m 1'
_space_group_IT_number 12
_space_group_name_Hall '-C 2y'
_cell_length_a 14.6843
_cell_length_b 6.4619
_cell_length_c 4.5940
_cell_angle_alpha 90.00
_cell_angle_beta 108.20
_cell_angle_gamma 90.00
loop_
_atom_site_label
_atom_site_type_symbol
_atom_site_fract_x
_atom_site_fract_y
_atom_site_fract_z
_atom_site_occupancy
Mg1 Mg 0.0000 0.0000 0.0000 1
Zr1 Zr 0.0000 0.5000 0.0000 1
Zr2 Zr 0.1660 0.0000 0.6671 1
Zr3 Zr 0.1681 0.5000 0.6695 1
Cu1 Cu 0.0000 0.2462 0.5000 1
Cu2 Cu 0.1615 0.2434 0.1637 1

# Mg3ZrCu | Alexandria | GGA-PBE | relaxed
# Energy of formation from the pure elements ... 0.319 eV per atom
# Energy relative to the lowest polymorph listed for this composition ... 0 meV per atom
# Total magnetic moment ... 0.00 μB/cell
data_Mg3ZrCu
_space_group_name_H-M_alt 'P m -3 m'
_space_group_IT_number 221
_space_group_name_Hall '-P 4 2 3'
_cell_length_a 4.7583
_cell_length_b 4.7583
_cell_length_c 4.7583
_cell_angle_alpha 90.00
_cell_angle_beta 90.00
_cell_angle_gamma 90.00
loop_
_atom_site_label
_atom_site_type_symbol
_atom_site_fract_x
_atom_site_fract_y
_atom_site_fract_z
_atom_site_occupancy
Mg1 Mg 0.0000 0.0000 0.5000 1
Zr1 Zr 0.5000 0.5000 0.5000 1
Cu1 Cu 0.0000 0.0000 0.0000 1

# MgZr2Cu | Alexandria | GGA-PBE | relaxed
# Energy of formation from the pure elements ... 0.076 eV per atom
# Total magnetic moment ... 0.00 μB/cell
data_MgZr2Cu
_space_group_name_H-M_alt 'C 1 2/m 1'
_space_group_IT_number 12
_space_group_name_Hall '-C 2y'
_cell_length_a 5.8180
_cell_length_b 8.2700
_cell_length_c 3.2630
_cell_angle_alpha 90.00
_cell_angle_beta 90.14
_cell_angle_gamma 90.00
loop_
_atom_site_label
_atom_site_type_symbol
_atom_site_fract_x
_atom_site_fract_y
_atom_site_fract_z
_atom_site_occupancy
Mg1 Mg 0.0000 0.0000 0.0000 1
Zr1 Zr 0.2500 0.2500 0.5000 1
Cu1 Cu 0.0000 0.5000 0.0000 1

# MgZr2Cu | Alexandria | GGA-PBE | relaxed
# Energy of formation from the pure elements ... 0.042 eV per atom
# Total magnetic moment ... 0.00 μB/cell
data_MgZr2Cu
_space_group_name_H-M_alt 'P 1 2/m 1'
_space_group_IT_number 10
_space_group_name_Hall '-P 2y'
_cell_length_a 3.2812
_cell_length_b 3.9875
_cell_length_c 5.9664
_cell_angle_alpha 90.00
_cell_angle_beta 90.40
_cell_angle_gamma 90.00
loop_
_atom_site_label
_atom_site_type_symbol
_atom_site_fract_x
_atom_site_fract_y
_atom_site_fract_z
_atom_site_occupancy
Mg1 Mg 0.0000 0.0000 0.0000 1
Zr1 Zr 0.4961 0.5000 0.7350 1
Cu1 Cu 0.0000 0.0000 0.5000 1

# MgZr2Cu | Alexandria | GGA-PBE | relaxed
# Energy of formation from the pure elements ... 0.292 eV per atom
# Total magnetic moment ... 12.10 μB/cell
data_MgZr2Cu
_space_group_name_H-M_alt 'F -4 3 m'
_space_group_IT_number 216
_space_group_name_Hall 'F -4 2 3'
_cell_length_a 6.8667
_cell_length_b 6.8667
_cell_length_c 6.8667
_cell_angle_alpha 90.00
_cell_angle_beta 90.00
_cell_angle_gamma 90.00
loop_
_atom_site_label
_atom_site_type_symbol
_atom_site_fract_x
_atom_site_fract_y
_atom_site_fract_z
_atom_site_occupancy
Mg1 Mg 0.0000 0.0000 0.0000 1
Zr1 Zr 0.0000 0.0000 0.5000 1
Zr2 Zr 0.2500 0.2500 0.2500 1
Cu1 Cu 0.2500 0.2500 0.7500 1

# MgZr2Cu | Alexandria | GGA-PBE | relaxed
# Energy of formation from the pure elements ... 0.273 eV per atom
# Total magnetic moment ... 0.00 μB/cell
data_MgZr2Cu
_space_group_name_H-M_alt 'I -4 2 d'
_space_group_IT_number 122
_space_group_name_Hall 'I -4 2bw'
_cell_length_a 7.7859
_cell_length_b 7.7859
_cell_length_c 5.5282
_cell_angle_alpha 90.00
_cell_angle_beta 90.00
_cell_angle_gamma 90.00
loop_
_atom_site_label
_atom_site_type_symbol
_atom_site_fract_x
_atom_site_fract_y
_atom_site_fract_z
_atom_site_occupancy
Mg1 Mg 0.0000 0.0000 0.0000 1
Zr1 Zr 0.2067 0.2500 0.6250 1
Cu1 Cu 0.0000 0.0000 0.5000 1

# MgZr2Cu | Alexandria | GGA-PBE | relaxed
# Energy of formation from the pure elements ... 0.054 eV per atom
# Total magnetic moment ... 0.00 μB/cell
data_MgZr2Cu
_space_group_name_H-M_alt 'P 1 m 1'
_space_group_IT_number 6
_space_group_name_Hall 'P -2y'
_cell_length_a 3.1802
_cell_length_b 4.3111
_cell_length_c 6.0253
_cell_angle_alpha 90.00
_cell_angle_beta 105.25
_cell_angle_gamma 90.00
loop_
_atom_site_label
_atom_site_type_symbol
_atom_site_fract_x
_atom_site_fract_y
_atom_site_fract_z
_atom_site_occupancy
Mg1 Mg 0.0000 0.0000 0.0000 1
Zr1 Zr 0.2702 0.0000 0.5396 1
Zr2 Zr 0.6219 0.5000 0.2434 1
Cu1 Cu 0.8714 0.5000 0.7385 1

# Mn3Cu | Alexandria | GGA-PBE | relaxed
# Energy of formation from the pure elements ... 0.148 eV per atom
# Total magnetic moment ... 1.51 μB/cell
data_Mn3Cu
_space_group_name_H-M_alt 'P -6 m 2'
_space_group_IT_number 187
_space_group_name_Hall 'P -6 2'
_cell_length_a 2.4993
_cell_length_b 2.4993
_cell_length_c 8.2955
_cell_angle_alpha 90.00
_cell_angle_beta 90.00
_cell_angle_gamma 120.00
loop_
_atom_site_label
_atom_site_type_symbol
_atom_site_fract_x
_atom_site_fract_y
_atom_site_fract_z
_atom_site_occupancy
Mn1 Mn 0.0000 0.0000 0.0000 1
Mn2 Mn 0.3333 0.6667 0.2381 1
Cu1 Cu 0.0000 0.0000 0.5000 1

# MnCu3 | Alexandria | GGA-PBE | relaxed
# Energy of formation from the pure elements ... 0.128 eV per atom
# Total magnetic moment ... 8.29 μB/cell
data_MnCu3
_space_group_name_H-M_alt 'R -3 m'
_space_group_IT_number 166
_space_group_name_Hall '-R 3 2"'
_cell_length_a 2.5704
_cell_length_b 2.5704
_cell_length_c 25.4565
_cell_angle_alpha 90.00
_cell_angle_beta 90.00
_cell_angle_gamma 120.00
loop_
_atom_site_label
_atom_site_type_symbol
_atom_site_fract_x
_atom_site_fract_y
_atom_site_fract_z
_atom_site_occupancy
Mn1 Mn 0.0000 0.0000 0.0000 1
Cu1 Cu 0.0000 0.0000 0.2493 1
Cu2 Cu 0.0000 0.0000 0.5000 1

# Mn2Cu | Alexandria | GGA-PBE | relaxed
# Energy of formation from the pure elements ... 0.494 eV per atom
# Total magnetic moment ... 9.05 μB/cell
data_Mn2Cu
_space_group_name_H-M_alt 'I m m a'
_space_group_IT_number 74
_space_group_name_Hall '-I 2b 2'
_cell_length_a 2.5520
_cell_length_b 3.8297
_cell_length_c 16.0459
_cell_angle_alpha 90.00
_cell_angle_beta 90.00
_cell_angle_gamma 90.00
loop_
_atom_site_label
_atom_site_type_symbol
_atom_site_fract_x
_atom_site_fract_y
_atom_site_fract_z
_atom_site_occupancy
Mn1 Mn 0.0000 0.2500 0.0350 1
Mn2 Mn 0.0000 0.2500 0.1830 1
Cu1 Cu 0.0000 0.2500 0.6101 1

# Mn3Cu | Alexandria | GGA-PBE | relaxed
# Energy of formation from the pure elements ... 0.133 eV per atom
# Total magnetic moment ... 2.55 μB/cell
data_Mn3Cu
_space_group_name_H-M_alt 'P m m m'
_space_group_IT_number 47
_space_group_name_Hall '-P 2 2'
_cell_length_a 2.5999
_cell_length_b 3.5620
_cell_length_c 5.1969
_cell_angle_alpha 90.00
_cell_angle_beta 90.00
_cell_angle_gamma 90.00
loop_
_atom_site_label
_atom_site_type_symbol
_atom_site_fract_x
_atom_site_fract_y
_atom_site_fract_z
_atom_site_occupancy
Mn1 Mn 0.0000 0.0000 0.0000 1
Mn2 Mn 0.5000 0.5000 0.2483 1
Cu1 Cu 0.0000 0.0000 0.5000 1

# MnCu3 | Alexandria | GGA-PBE | relaxed
# Energy of formation from the pure elements ... 0.175 eV per atom
# Total magnetic moment ... 11.30 μB/cell
data_MnCu3
_space_group_name_H-M_alt 'R -3 m'
_space_group_IT_number 166
_space_group_name_Hall '-R 3 2"'
_cell_length_a 8.2432
_cell_length_b 8.2432
_cell_length_c 2.5610
_cell_angle_alpha 90.00
_cell_angle_beta 90.00
_cell_angle_gamma 120.00
loop_
_atom_site_label
_atom_site_type_symbol
_atom_site_fract_x
_atom_site_fract_y
_atom_site_fract_z
_atom_site_occupancy
Mn1 Mn 0.0000 0.0000 0.0000 1
Cu1 Cu 0.0000 0.5000 0.0000 1

# Mn2Cu | Alexandria | GGA-PBE | relaxed
# Energy of formation from the pure elements ... 0.165 eV per atom
# Total magnetic moment ... 0.00 μB/cell
data_Mn2Cu
_space_group_name_H-M_alt 'P -3 m 1'
_space_group_IT_number 164
_space_group_name_Hall '-P 3 2"'
_cell_length_a 2.4955
_cell_length_b 2.4955
_cell_length_c 6.2406
_cell_angle_alpha 90.00
_cell_angle_beta 90.00
_cell_angle_gamma 120.00
loop_
_atom_site_label
_atom_site_type_symbol
_atom_site_fract_x
_atom_site_fract_y
_atom_site_fract_z
_atom_site_occupancy
Mn1 Mn 0.3333 0.6667 0.3505 1
Cu1 Cu 0.0000 0.0000 0.0000 1

# MnCu3 | Alexandria | GGA-PBE | relaxed
# Energy of formation from the pure elements ... 0.127 eV per atom
# Total magnetic moment ... 7.66 μB/cell
data_MnCu3
_space_group_name_H-M_alt 'I m m 2'
_space_group_IT_number 44
_space_group_name_Hall 'I 2 -2'
_cell_length_a 2.7228
_cell_length_b 8.4541
_cell_length_c 4.3643
_cell_angle_alpha 90.00
_cell_angle_beta 90.00
_cell_angle_gamma 90.00
loop_
_atom_site_label
_atom_site_type_symbol
_atom_site_fract_x
_atom_site_fract_y
_atom_site_fract_z
_atom_site_occupancy
Mn1 Mn 0.0000 0.0000 0.0000 1
Cu1 Cu 0.0000 0.2464 0.6231 1
Cu2 Cu 0.0000 0.5000 0.9952 1

# Mn3Cu | Alexandria | GGA-PBE | relaxed
# Energy of formation from the pure elements ... 0.196 eV per atom
# Total magnetic moment ... 12.73 μB/cell
data_Mn3Cu
_space_group_name_H-M_alt 'F m -3 m'
_space_group_IT_number 225
_space_group_name_Hall '-F 4 2 3'
_cell_length_a 5.8691
_cell_length_b 5.8691
_cell_length_c 5.8691
_cell_angle_alpha 90.00
_cell_angle_beta 90.00
_cell_angle_gamma 90.00
loop_
_atom_site_label
_atom_site_type_symbol
_atom_site_fract_x
_atom_site_fract_y
_atom_site_fract_z
_atom_site_occupancy
Mn1 Mn 0.0000 0.0000 0.0000 1
Mn2 Mn 0.2500 0.2500 0.2500 1
Cu1 Cu 0.0000 0.0000 0.5000 1

# MnCu3 | Alexandria | GGA-PBE | relaxed
# Energy of formation from the pure elements ... 0.158 eV per atom
# Total magnetic moment ... 5.57 μB/cell
data_MnCu3
_space_group_name_H-M_alt 'C m m m'
_space_group_IT_number 65
_space_group_name_Hall '-C 2 2'
_cell_length_a 2.8054
_cell_length_b 4.1428
_cell_length_c 8.3732
_cell_angle_alpha 90.00
_cell_angle_beta 90.00
_cell_angle_gamma 90.00
loop_
_atom_site_label
_atom_site_type_symbol
_atom_site_fract_x
_atom_site_fract_y
_atom_site_fract_z
_atom_site_occupancy
Mn1 Mn 0.0000 0.0000 0.0000 1
Cu1 Cu 0.0000 0.0000 0.5000 1
Cu2 Cu 0.0000 0.5000 0.2519 1

# MnCu3 | Alexandria | GGA-PBE | relaxed
# Energy of formation from the pure elements ... 0.099 eV per atom
# Total magnetic moment ... 7.39 μB/cell
data_MnCu3
_space_group_name_H-M_alt 'C 1 2/m 1'
_space_group_IT_number 12
_space_group_name_Hall '-C 2y'
_cell_length_a 8.6188
_cell_length_b 2.6540
_cell_length_c 4.4485
_cell_angle_alpha 90.00
_cell_angle_beta 101.02
_cell_angle_gamma 90.00
loop_
_atom_site_label
_atom_site_type_symbol
_atom_site_fract_x
_atom_site_fract_y
_atom_site_fract_z
_atom_site_occupancy
Mn1 Mn 0.0000 0.0000 0.0000 1
Cu1 Cu 0.0000 0.5000 0.5000 1
Cu2 Cu 0.2482 0.0000 0.7477 1

# MnCu2 | Alexandria | GGA-PBE | relaxed
# Energy of formation from the pure elements ... 0.469 eV per atom
# Total magnetic moment ... 5.77 μB/cell
data_MnCu2
_space_group_name_H-M_alt 'I 4/m c m'
_space_group_IT_number 140
_space_group_name_Hall '-I 4 2c'
_cell_length_a 6.0175
_cell_length_b 6.0175
_cell_length_c 4.2103
_cell_angle_alpha 90.00
_cell_angle_beta 90.00
_cell_angle_gamma 90.00
loop_
_atom_site_label
_atom_site_type_symbol
_atom_site_fract_x
_atom_site_fract_y
_atom_site_fract_z
_atom_site_occupancy
Mn1 Mn 0.0000 0.0000 0.2500 1
Cu1 Cu 0.1468 0.3532 0.0000 1

# Mn3Cu | Alexandria | GGA-PBE | relaxed
# Energy of formation from the pure elements ... 0.145 eV per atom
# Total magnetic moment ... 5.96 μB/cell
data_Mn3Cu
_space_group_name_H-M_alt 'P m m n'
_space_group_IT_number 59
_cell_length_a 4.2700
_cell_length_b 5.1786
_cell_length_c 4.4778
_cell_angle_alpha 90.00
_cell_angle_beta 90.00
_cell_angle_gamma 90.00
loop_
_space_group_symop_operation_xyz
'x,y,z'
'-x,-y,-z'
'-x+1/2,-y+1/2,z'
'x+1/2,y+1/2,-z'
'x+1/2,-y,-z'
'-x+1/2,y,z'
'-x,y+1/2,-z'
'x,-y+1/2,z'
loop_
_atom_site_label
_atom_site_type_symbol
_atom_site_fract_x
_atom_site_fract_y
_atom_site_fract_z
_atom_site_occupancy
Mn1 Mn 0.2500 0.0002 0.1873 1
Mn2 Mn 0.2500 0.2500 0.6772 1
Cu1 Cu 0.2500 0.7500 0.6795 1

# Mn2Cu | Alexandria | GGA-PBE | relaxed
# Energy of formation from the pure elements ... 0.145 eV per atom
# Total magnetic moment ... 2.12 μB/cell
data_Mn2Cu
_space_group_name_H-M_alt 'C m c m'
_space_group_IT_number 63
_space_group_name_Hall '-C 2c 2'
_cell_length_a 3.6182
_cell_length_b 10.9078
_cell_length_c 3.7197
_cell_angle_alpha 90.00
_cell_angle_beta 90.00
_cell_angle_gamma 90.00
loop_
_atom_site_label
_atom_site_type_symbol
_atom_site_fract_x
_atom_site_fract_y
_atom_site_fract_z
_atom_site_occupancy
Mn1 Mn 0.0000 0.0974 0.2500 1
Mn2 Mn 0.0000 0.2504 0.7500 1
Cu1 Cu 0.0000 0.4213 0.2500 1